VASP calculation (GGA-PBE) on crystalline PrNd2Si4Pd2Au2 at its relaxed geometry.

Space group ... No. 71
Theoretical density ... 8.49 g cm⁻³
Energy above the lowest structure with this stoichiometry ... 0 meV/atom
Spin magnetization ... 0.0 μB per formula unit

```
PrNd2Si4Pd2Au2
1.0
-2.1268 2.1393 12.3464
2.1268 -2.1393 12.3464
2.1268 2.1393 -12.3464
Si Nd Pd Au Pr
4 2 2 2 1
direct
0.4517 0.4517 0.0000 Si
0.5483 0.5483 0.0000 Si
0.8016 0.3016 0.5000 Si
0.1984 0.6984 0.5000 Si
0.3506 0.8506 0.5000 Nd
0.6494 0.1494 0.5000 Nd
0.2495 0.2495 0.0000 Pd
0.7505 0.7505 0.0000 Pd
0.9019 0.4019 0.5000 Au
0.0981 0.5981 0.5000 Au
0.0000 0.0000 0.0000 Pr
```

VASP calculation (GGA-PBE) on crystalline PrNd2Si4Pd2Au2 at its relaxed geometry.

Space group ... No. 71
Theoretical density ... 8.42 g cm⁻³
Energy above the lowest structure with this stoichiometry ... 64 meV/atom
Spin magnetization ... 0.0 μB per formula unit

```
PrNd2Si4Pd2Au2
1.0
9.5838 -4.3275 7.3034
6.1613 -9.2156 6.4052
-6.2703 6.1294 -9.3289
Si Nd Pr Au Pd
4 2 1 2 2
direct
0.1899 0.6899 0.5000 Si
0.8101 0.3101 0.5000 Si
0.5481 0.5481 0.0000 Si
0.4519 0.4519 0.0000 Si
0.3539 0.8539 0.5000 Nd
0.6461 0.1461 0.5000 Nd
0.0000 0.0000 0.0000 Pr
0.7511 0.7511 0.0000 Au
0.2489 0.2489 0.0000 Au
0.0943 0.5943 0.5000 Pd
0.9057 0.4057 0.5000 Pd
```

VASP calculation (GGA-PBE) on crystalline NdSi2PdAu at its relaxed geometry.

Space group ... No. 119
E ... -28.02 eV/cell
Theoretical density ... 9.03 g cm⁻³
Spin magnetization ... 0.0 μB per formula unit

```
NdSi2PdAu
1.0
-2.1328 2.1328 5.0919
2.1328 -2.1328 5.0919
2.1328 2.1328 -5.0919
Si Au Pd Nd
2 1 1 1
direct
0.8654 0.3654 0.5000 Si
0.6346 0.1346 0.5000 Si
0.5000 0.5000 0.0000 Au
0.0000 0.0000 0.0000 Pd
0.2500 0.7500 0.5000 Nd
```

VASP calculation (GGA-PBE) on crystalline NdSm2Si4Pd2Au2 at its relaxed geometry.

Space group ... No. 71
E ... -61.65 eV/cell
Theoretical density ... 8.67 g cm⁻³
Spin magnetization ... 0.0 μB per formula unit

```
NdSm2Si4Pd2Au2
1.0
-2.1053 2.1285 12.4382
2.1053 -2.1285 12.4382
2.1053 2.1285 -12.4382
Au Nd Si Sm Pd
2 1 4 2 2
direct
0.7508 0.7508 0.0000 Au
0.2492 0.2492 0.0000 Au
0.0000 0.0000 0.0000 Nd
0.8107 0.3107 0.5000 Si
0.4519 0.4519 0.0000 Si
0.1893 0.6893 0.5000 Si
0.5481 0.5481 0.0000 Si
0.6457 0.1457 0.5000 Sm
0.3543 0.8543 0.5000 Sm
0.0942 0.5942 0.5000 Pd
0.9058 0.4058 0.5000 Pd
```

VASP calculation (GGA-PBE) on crystalline Nd2Sn2Pd3Au at its relaxed geometry.

Space group ... No. 156
Theoretical density ... 9.86 g cm⁻³
Energy above the lowest structure with this stoichiometry ... 0 meV/atom
Spin magnetization ... 0.0 μB per formula unit

```
Nd2Sn2Pd3Au
1.0
-2.6412 3.5883 1.4484
-1.6254 -4.3827 0.3165
3.6332 -0.7371 8.4512
Pd Au Nd Sn
3 1 2 2
direct
0.6667 0.3333 0.9133 Pd
0.0000 0.0000 0.4209 Pd
0.6667 0.3333 0.5788 Pd
0.0000 0.0000 0.0999 Au
0.6667 0.3333 0.2538 Nd
0.0000 0.0000 0.7502 Nd
0.3333 0.6667 0.5056 Sn
0.3333 0.6667 0.9774 Sn
```

VASP calculation (GGA-PBE) on crystalline NdSnPdAu at its relaxed geometry.

Space group ... No. 164
Theoretical density ... 10.39 g cm⁻³
Energy above the lowest structure with this stoichiometry ... 0 meV/atom
Spin magnetization ... 0.0 μB per formula unit

```
NdSnPdAu
1.0
-0.6464 1.9800 -4.2258
2.4374 -4.0144 0.3724
-7.9507 -4.9288 -1.0931
Sn Pd Au Nd
2 2 2 2
direct
0.0000 0.0000 0.0000 Sn
0.0000 0.0000 0.5000 Sn
0.3333 0.6667 0.9230 Pd
0.6667 0.3333 0.0770 Pd
0.3333 0.6667 0.6075 Au
0.6667 0.3333 0.3925 Au
0.3333 0.6667 0.2453 Nd
0.6667 0.3333 0.7547 Nd
```